Below is a relaxed PbWI2O crystal, with properties calculated at the PBE with a Hubbard U level.

POSCAR file:
```
PbWI2O
1.0
6.053 0.000 0.000
0.000 6.053 0.000
0.000 0.000 4.250
Pb I O W
1 2 1 1
Cartesian
0.000 0.000 0.000
0.000 3.026 0.000
3.026 0.000 0.000
0.000 0.000 2.125
3.026 3.026 2.125
```

SG: P4/mmm, No. 123
Calculated total energy: -3.346 eV per atom
Offset from the most stable computed form: 3.901 eV/f.u.


Below is a relaxed PbWIO4 crystal, with properties calculated at the PBE with a Hubbard U level.

POSCAR file:
```
PbWIO4
1.0
-3.400 -5.357 -3.454
3.826 -4.897 -3.683
0.510 -5.531 4.968
Pb W I O
2 2 2 8
Cartesian
0.541 -7.469 2.068
0.395 -8.316 -4.237
0.647 -10.569 -0.814
0.289 -5.216 -1.356
0.172 -2.017 1.379
0.763 -13.769 -3.548
0.385 -5.889 0.330
0.550 -9.896 -2.499
1.656 -4.046 -1.656
0.336 -6.564 -2.564
2.167 -11.556 -0.604
-1.231 -4.229 -1.565
0.599 -9.221 0.394
-0.720 -11.740 -0.513
```

SG: C2/m, No. 12
Calculated total energy: -6.039 eV per atom


Below is a relaxed PbWI2O crystal, with properties calculated at the PBE with a Hubbard U level.

POSCAR file:
```
PbWI2O
1.0
6.235 0.000 0.000
0.000 6.235 0.000
0.000 0.000 3.891
Pb I O W
1 2 1 1
Cartesian
3.118 3.118 1.946
0.000 3.118 0.000
3.118 0.000 0.000
0.000 0.000 1.946
0.000 0.000 0.000
```

SG: P4/mmm, No. 123
Calculated total energy: -4.126 eV per atom
Offset from the most stable computed form: 0.000 eV/f.u.


Copy entry 2 word for word.
Below is a relaxed PbWIO4 crystal, with properties calculated at the PBE with a Hubbard U level.

POSCAR file:
```
PbWIO4
1.0
-3.400 -5.357 -3.454
3.826 -4.897 -3.683
0.510 -5.531 4.968
Pb W I O
2 2 2 8
Cartesian
0.541 -7.469 2.068
0.395 -8.316 -4.237
0.647 -10.569 -0.814
0.289 -5.216 -1.356
0.172 -2.017 1.379
0.763 -13.769 -3.548
0.385 -5.889 0.330
0.550 -9.896 -2.499
1.656 -4.046 -1.656
0.336 -6.564 -2.564
2.167 -11.556 -0.604
-1.231 -4.229 -1.565
0.599 -9.221 0.394
-0.720 -11.740 -0.513
```

SG: C2/m, No. 12
Calculated total energy: -6.039 eV per atom